Entry 1:
12
Lattice="9.3073 -2.0392 0.0000 9.3073 2.0392 0.0000 -6.5658 0.0000 9.8427" Properties=species:S:1:pos:R:3 comment="PBE Nd2IBr2N, optimized geometry" energy_ev_per_atom=-5.475 sg="C2/m (12)" pbc="T T T"
Nd 14.7089 0.0000 2.0940
Nd -2.6602 0.0000 7.7487
Nd 7.7329 0.0000 4.5299
Nd 4.3159 0.0000 5.3129
N 6.3568 0.0000 6.4412
N 5.6919 0.0000 3.4015
I 12.6941 0.0000 7.6013
I -0.6454 0.0000 2.2414
Br -0.3455 0.0000 9.7138
Br 12.1248 0.0000 3.7251
Br 12.3942 0.0000 0.1290
Br -0.0761 0.0000 6.1176

***

Entry 2:
4
Lattice="-3.8984 0.0785 -2.8009 -3.6579 2.9238 1.0585 -0.8942 3.8231 -2.7628" Properties=species:S:1:pos:R:3 comment="PBE YScCoSn, optimized geometry" energy_ev_per_atom=-6.123 sg="F-43m (216)" pbc="T T T"
Y -4.2253 3.4127 -2.2526
Sc -2.1126 1.7064 -1.1263
Co -6.3379 5.1191 -3.3789
Sn 0.0000 0.0000 0.0000

***

Entry 3:
24
Lattice="5.1046 -2.9731 0.0000 5.1046 2.9731 0.0000 -3.4668 0.0000 12.2731" Properties=species:S:1:pos:R:3 comment="PBE Lu4P3W2C3, optimized geometry" energy_ev_per_atom=-7.990 sg="C2/c (15)" pbc="T T T"
Lu 5.9769 -0.5355 7.4981
Lu 5.9000 -0.4434 10.9171
Lu 7.6334 0.4434 4.7805
Lu -0.8911 -0.4434 7.4926
Lu -0.9680 -0.5355 10.9116
Lu 7.7103 0.5355 1.3615
Lu 0.7654 0.5355 4.7751
Lu 0.8423 0.4434 1.3560
C 0.8189 -1.4866 6.1366
C 2.5837 1.3715 6.1336
C 0.8504 -1.3715 12.2701
C 5.8920 1.3715 0.0030
C 4.1586 -1.3715 6.1395
C 2.5523 1.4866 0.0000
P 3.9488 0.3280 9.1957
P 1.0602 0.3280 9.2139
P 5.6822 -0.3280 3.0592
P 2.7935 -0.3280 3.0774
P 4.2379 2.1267 3.0683
P 2.5045 -2.1267 9.2048
W 4.2820 0.5190 5.1234
W 2.4603 -0.5190 7.1497
W 2.5486 -0.5190 11.2599
W 4.1937 0.5190 1.0132

***

Entry 4:
9
Lattice="7.4682 0.0000 0.0000 -3.7341 6.4677 0.0000 0.0000 0.0000 3.9944" Properties=species:S:1:pos:R:3 comment="PBE Y3Mg3CuPt2, optimized geometry" energy_ev_per_atom=-5.150 sg="P-62m (189)" pbc="T T T"
Y -2.1829 3.7809 1.9972
Y 1.5512 2.6868 1.9972
Y 4.3658 0.0000 1.9972
Pt 3.7341 2.1559 0.0000
Pt 0.0000 4.3118 0.0000
Mg -0.9166 1.5876 0.0000
Mg 1.8332 0.0000 0.0000
Mg 2.8175 4.8801 0.0000
Cu 0.0000 0.0000 1.9972

***

Entry 5:
9
Lattice="-6.3016 6.5440 0.1098 -3.1680 -3.0601 0.5604 0.4406 0.3504 4.4043" Properties=species:S:1:pos:R:3 comment="PBE Rb2Pa2O5, optimized geometry" energy_ev_per_atom=-7.396 sg="P4/mmm (123)" pbc="T T T"
Pa -6.0388 3.5000 2.5638
Pa -2.9903 0.3343 2.5107
O -6.4876 3.5621 0.3656
O -2.9821 -0.0782 0.3046
O -4.6832 5.2673 2.2876
O -4.5145 1.9171 2.5372
O -1.1778 1.6271 2.2265
Rb -3.1508 3.2720 0.0549
Rb 0.0000 0.0000 0.0000

***

Entry 6:
8
Lattice="5.6130 0.0000 0.0000 0.0000 5.6130 0.0000 0.0000 0.0000 4.4428" Properties=species:S:1:pos:R:3 comment="PBE TmPPtO, optimized geometry" energy_ev_per_atom=-6.244 sg="P4/nmm (129)" pbc="T T T"
Pt 0.0000 2.8065 0.0410
Pt 2.8065 0.0000 4.4019
P 2.8065 0.0000 2.1802
P 0.0000 2.8065 2.2627
Tm 0.0000 0.0000 2.2214
Tm 2.8065 2.8065 2.2214
O 0.0000 0.0000 0.0000
O 2.8065 2.8065 0.0000

***

Entry 7:
3
Lattice="0.0000 4.0165 4.0165 4.0165 0.0000 4.0165 4.0165 4.0165 0.0000" Properties=species:S:1:pos:R:3 comment="PBE RbNdIn, optimized geometry" energy_ev_per_atom=-2.488 sg="F-43m (216)" pbc="T T T"
Rb 6.0247 6.0247 6.0247
Nd 2.0082 2.0082 2.0082
In 0.0000 0.0000 0.0000

***

Entry 8:
12
Lattice="-3.5203 3.5203 3.0856 3.5203 -3.5203 3.0856 3.5203 3.5203 -3.0856" Properties=species:S:1:pos:R:3 comment="PBE PmPO4, optimized geometry" energy_ev_per_atom=-7.992 sg="I4_1/amd (141)" pbc="T T T"
P 3.5204 0.0000 1.5428
P 0.0000 0.0000 3.0856
O 3.5203 1.2185 2.5009
O 2.3019 0.0000 0.5847
O 0.0000 1.2185 2.1275
O 3.5203 -1.2185 2.5009
O 4.7388 0.0000 0.5847
O 2.3019 3.5204 0.9581
O 1.2185 0.0000 4.0437
O 3.5204 2.3019 -0.9581
Pm 0.0000 3.5204 1.5428
Pm 0.0000 0.0000 0.0000

***

Entry 9:
11
Lattice="-2.0768 2.1220 12.5898 2.0768 -2.1220 12.5898 2.0768 2.1220 -12.5898" Properties=species:S:1:pos:R:3 comment="PBE NdSm2Zn2Si4Au2, optimized geometry" energy_ev_per_atom=-4.751 sg="Immm (71)" pbc="T T T"
Zn 0.0000 2.1220 6.3032
Zn 2.0768 0.0000 6.2865
Si 2.0768 0.0000 1.1888
Si 0.0000 0.0000 17.4425
Si 0.0000 2.1220 11.4010
Si 0.0000 0.0000 7.7370
Sm 0.0000 0.0000 3.7068
Sm 0.0000 0.0000 21.4727
Au 0.0000 0.0000 15.0090
Au 0.0000 0.0000 10.1705
Nd 0.0000 2.1220 0.0000

***

Entry 10:
3
Lattice="0.0000 3.1205 3.1205 3.1205 0.0000 3.1205 3.1205 3.1205 0.0000" Properties=species:S:1:pos:R:3 comment="PBE TaGaHg, optimized geometry" energy_ev_per_atom=-4.387 sg="F-43m (216)" pbc="T T T"
Ga 0.0000 0.0000 0.0000
Hg 1.5602 1.5602 1.5602
Ta 4.6807 4.6807 4.6807

***

Entry 11:
32
Lattice="-2.6493 -6.1534 2.1993 6.4948 -2.9752 2.3583 -0.0334 0.3544 8.6148" Properties=species:S:1:pos:R:3 comment="PBE RbPrP3HO10, optimized geometry" energy_ev_per_atom=-7.074 sg="P-1 (2)" pbc="T T T"
Rb 1.2232 -2.4053 9.7810
Rb 2.5888 -6.3689 3.3914
P -0.7995 -5.4707 9.4275
P -1.5165 -3.7807 7.0784
P -0.2653 -5.8004 5.4628
P 5.3285 -4.9935 6.0940
P 4.6114 -3.3035 3.7449
P 4.0773 -2.9739 7.7096
O 4.3497 -2.4451 9.0882
O 5.0399 -3.7805 11.1167
O 0.1088 -2.7999 3.8745
O -1.7525 -4.7607 8.3153
O 2.3738 -8.0095 5.8765
O 0.6566 -5.2034 9.1022
O 1.4382 -0.7648 7.2959
O 4.0663 -1.9540 6.5628
O -0.5377 -6.3292 4.0842
O -1.4911 -4.7660 5.7980
O 1.0595 -5.0167 5.5849
O -0.2195 -3.0495 7.1973
O -0.2543 -6.8202 6.6096
O 2.7524 -3.7576 7.5875
O 3.1553 -3.5709 4.0702
O 5.5645 -4.0136 4.8571
O 5.3031 -4.0082 7.3744
O 4.0315 -5.7247 5.9751
O -1.2280 -4.9938 2.0557
O 3.7032 -5.9743 9.2979
H -0.9994 -5.4540 2.9557
H 4.8114 -3.3202 10.2167
Pr 2.1663 -6.1973 7.4706
Pr 1.6457 -2.5770 5.7018

***

Entry 12:
5
Lattice="3.5919 0.0000 0.0000 0.0000 1.9463 7.1415 0.0000 -1.9463 7.1415" Properties=species:S:1:pos:R:3 comment="PBE NdScInNi2, optimized geometry" energy_ev_per_atom=-5.447 sg="Amm2 (38)" pbc="T T T"
Ni 0.0000 0.0000 2.7692
Ni 0.0000 0.0000 11.3509
Sc 1.7960 0.0000 9.1451
Nd 1.7960 0.0000 5.1866
In 0.0000 0.0000 0.1141

***

Entry 13:
8
Lattice="-0.3254 2.0236 -3.1714 0.2461 -4.5444 -2.9249 -7.5109 -0.6401 0.3626" Properties=species:S:1:pos:R:3 comment="PBE Ba3CdO4, optimized geometry" energy_ev_per_atom=-5.335 sg="Pmm2 (25)" pbc="T T T"
O -2.7041 0.2817 -0.6651
O -4.8070 -1.1532 -3.6157
O -6.8740 -0.0736 -0.4640
O -1.0509 -0.8334 -3.7966
Cd -1.1861 1.4385 -2.3348
Ba -6.6167 -2.3336 -1.9341
Ba -4.9409 1.1163 -2.1500
Ba -2.6732 -1.9973 -2.1247

***

Entry 14:
8
Lattice="7.4050 0.0000 0.0000 0.0000 2.1570 5.2187 0.0000 -2.1570 5.2187" Properties=species:S:1:pos:R:3 comment="PBE TbErIn4Ni2, optimized geometry" energy_ev_per_atom=-4.349 sg="Amm2 (38)" pbc="T T T"
In 5.1908 0.0000 8.9421
In 2.2142 0.0000 8.9421
In 1.4781 0.0000 1.4985
In 5.9268 0.0000 1.4985
Tb 3.7025 0.0000 5.9212
Er 0.0000 0.0000 4.5159
Ni 3.7025 0.0000 2.9710
Ni 0.0000 0.0000 7.4605

***

Entry 15:
3
Lattice="-1.6583 -3.0664 -2.6359 -3.2268 1.0107 -2.7689 0.7779 0.1591 -4.2977" Properties=species:S:1:pos:R:3 comment="PBE PuReOs, optimized geometry" sg="F-43m (216)" delta_e_f_ev_per_atom=0.960 pbc="T T T"
Pu -1.0268 -0.4741 -2.4256
Re -3.0804 -1.4224 -7.2768
Os 0.0000 0.0000 0.0000

***

Entry 16:
9
Lattice="-0.8152 2.1176 -3.6284 -6.3127 3.4373 3.4245 7.1497 3.4778 0.4233" Properties=species:S:1:pos:R:3 comment="PBE Nd3Mg3AgHg2, optimized geometry" energy_ev_per_atom=-2.844 sg="Amm2 (38)" pbc="T T T"
Mg 1.3094 1.8973 -1.7106
Mg -1.9228 1.8876 -0.9900
Mg 0.2279 6.3097 1.1077
Hg -2.2220 4.5060 0.6054
Hg 2.2428 4.5194 -0.3900
Nd -3.7261 2.0289 2.0213
Nd 4.2201 2.0528 0.2499
Nd 0.3428 2.8326 1.5762
Ag 0.0007 0.0054 0.0030

***

Entry 17:
8
Lattice="-3.8355 4.0404 -3.2546 -1.0788 -1.1335 6.2594 3.0229 3.8509 1.2183" Properties=species:S:1:pos:R:3 comment="PBE Mg6ScCd, optimized geometry" energy_ev_per_atom=-2.084 sg="P-6m2 (187)" pbc="T T T"
Mg 0.4998 2.2248 2.1730
Mg -2.4620 1.4626 1.4856
Mg -1.9283 2.0233 -1.6110
Mg -4.3594 3.4614 -0.1245
Mg -1.9258 3.6597 3.6561
Mg -0.0327 1.6653 5.2626
Cd 0.0000 0.0000 0.0000
Sc -1.4051 4.2412 0.5259

***

Entry 18:
3
Lattice="2.3314 -3.6660 -2.4577 0.8244 -4.3803 2.2470 -2.5374 -4.0543 -1.4283" Properties=species:S:1:pos:R:3 comment="PBE NdGdAg, optimized geometry" sg="F-43m (216)" delta_e_f_ev_per_atom=0.454 pbc="T T T"
Ag 0.1546 -3.0252 -0.4098
Nd 0.4638 -9.0755 -1.2293
Gd 0.0000 0.0000 0.0000

***

Entry 19:
16
Lattice="-0.5055 1.5701 -2.6538 -0.0490 -3.1243 0.0004 -22.4865 0.3534 4.4922" Properties=species:S:1:pos:R:3 comment="PBE Nb4CoN3, optimized geometry" energy_ev_per_atom=-9.675 sg="P6_3/mmc (194)" pbc="T T T"
Nb -18.7538 0.2947 3.7465
Nb -7.5106 0.1180 1.5004
Nb -1.5360 -1.5385 -0.6177
Nb -10.1096 -1.4038 1.0951
Nb -12.9314 0.2030 0.7437
Nb -21.5050 0.3377 2.4565
Nb -14.9759 0.2353 2.9918
Nb -3.7326 0.0587 0.7457
N -14.0296 -1.3422 1.8782
N -9.0114 0.1414 -0.0394
N -2.9386 0.0459 -1.2526
N -20.1024 -1.2467 3.0914
N 0.0000 0.0000 0.0000
N -11.2432 0.1767 2.2461
Co -5.8228 -1.4711 0.2387
Co -17.2182 0.2703 1.6001

***

Entry 20:
4
Lattice="0.0000 3.1916 3.1916 3.1916 0.0000 3.1916 3.1916 3.1916 0.0000" Properties=species:S:1:pos:R:3 comment="PBE CuReNiBi, optimized geometry" energy_ev_per_atom=-5.613 sg="F-43m (216)" pbc="T T T"
Re 3.1916 3.1916 3.1916
Cu 4.7874 4.7874 4.7874
Ni 1.5958 1.5958 1.5958
Bi 0.0000 0.0000 0.0000